## LiSmTh2 (PBE)

Data for an optimized crystal structure of LiSmTh2.

a b c (Å): 3.430 3.430 12.848
angles (deg): 82.33 82.33 60.00
Fractional positions:
Sm1 0.500 0.500 0.500
Th1 0.087 0.087 0.739
Th2 0.913 0.913 0.261
Li1 0.000 0.000 0.000

Summary:
The formation energy comes out at 272 meV per atom. Its size of the total moment is 0.000 μB per atom. The relative energy among the computed polymorphs is 0.112 eV/atom.